Computed, not measured: an optimized crystal structure of Li4Zn at the PBE level of DFT.

Cell lengths 9.490, 4.562, 7.601 Å; angles 90.00, 111.23, 90.00 degrees
Space group C2/m (No. 12)
Symmetry-distinct sites (fractional):
1 Li 0.052 0.000 0.353 x4
2 Li 0.052 0.500 0.853 x4
3 Li 0.155 0.000 0.051 x4
4 Li 0.156 0.500 0.551 x4
5 Zn 0.250 0.000 0.750 x4

Calculated values
E above lowest polymorph: 17 meV per atom
Crystal system: monoclinic